No. 1
Computed, not measured: a relaxed structure of SiPAu at the PBE level of DFT.

Computed properties:
ΔE_f (raw) in kJ/mol of atoms: 5.05

a = 6.108 Å, b = 6.108 Å, c = 6.108 Å
α = 149.93°, β = 149.93°, γ = 43.05°
Sites, in units of the cell vectors:
1 Au 0.001 0.001 0.000
2 P 0.789 0.789 0.000
3 Si 0.210 0.210 0.000


No. 2
Computed, not measured: a relaxed structure of Ac4RuPb at the PBE level of DFT.

Computed properties:
Energy of formation in eV per formula unit: -1.67

a = 6.793 Å, b = 9.777 Å, c = 8.584 Å
α = 114.41°, β = 99.83°, γ = 113.26°
Sites, in units of the cell vectors:
1 Ac 0.098 0.208 0.849
2 Ac 0.773 0.725 0.668
3 Ac 0.251 0.641 0.849
4 Ac 0.395 0.943 0.668
5 Ac 0.605 0.057 0.332
6 Ac 0.749 0.359 0.151
7 Ac 0.227 0.275 0.332
8 Ac 0.902 0.792 0.151
9 Ru 0.251 0.001 0.002
10 Ru 0.749 0.999 0.998
11 Pb 0.375 0.625 0.250
12 Pb 0.625 0.375 0.750


Number 1: uncorrected energy -0.3419 Ry per atom, energy above the most stable polymorph in this dataset 251 meV per atom. Number 2: uncorrected energy -0.3808 Ry per atom, energy above the most stable polymorph in this dataset 12 meV per atom.